DFT (PBE) results for PmPd4Pt2 after structural relaxation.

It has space group C2/m (No. 12), with a = 8.623 Å, b = 6.793 Å, c = 5.350 Å, α = 90.00°, β = 128.09° and γ = 90.00°. The inequivalent atoms are Pm at (0.000, 0.000, 0.000), Pd at (0.203, 0.203, 0.703) and Pt at (0.000, 0.500, 0.250).

As for the magnetization: 0.00 μB/f.u. The calculation puts the formation energy at -522 meV/atom. The total energy comes out at -5.89 eV/atom.